No. 1
Y2BiBMo: single point on PBEsol structure, meta-GGA SCAN.

Unit cell a=5.006 b=5.006 c=4.208 alpha=90.00 beta=90.00 gamma=90.00
Space group P4/mmm (No. 123)
One atom of each set of equivalent atoms:
1 Y 0.000 0.500 0.000
2 Bi 0.000 0.000 0.500
3 B 0.500 0.500 0.000
4 Mo 0.500 0.500 0.500

Results
calculated volume: 105 Å³ per cell
ΔE_f: -0.31 eV/atom
total magnetic moment: 0.000 μB per cell

***

No. 2
Y2TcHg: single point on PBEsol structure, meta-GGA SCAN.

Unit cell a=3.469 b=3.469 c=7.287 alpha=90.00 beta=90.00 gamma=90.00
Space group P4/mmm (No. 123)
One atom of each set of equivalent atoms:
1 Y 0.000 0.000 0.221
2 Tc 0.500 0.500 0.000
3 Hg 0.500 0.500 0.500

Results
calculated volume: 88 Å³ per cell
ΔE_f: -0.37 eV/atom
total magnetic moment: 0.000 μB per cell

***

No. 3
Na3HfN: single point on PBEsol structure, meta-GGA SCAN.

Unit cell a=4.718 b=4.718 c=4.718 alpha=90.00 beta=90.00 gamma=90.00
Space group Pm-3m (No. 221)
One atom of each set of equivalent atoms:
1 Na 0.000 0.000 0.500
2 Hf 0.500 0.500 0.500
3 N 0.000 0.000 0.000

Results
calculated volume: 105 Å³ per cell
uncorrected energy: -15.817 eV/atom
total magnetic moment: 0.068 μB per cell

***

No. 4
Rb2Bi2I: single point on PBEsol structure, meta-GGA SCAN.

Unit cell a=6.966 b=6.966 c=10.314 alpha=90.00 beta=90.00 gamma=90.00
Space group I4/mmm (No. 139)
One atom of each set of equivalent atoms:
1 Rb 0.000 0.500 0.250
2 Bi 0.000 0.000 0.133
3 I 0.000 0.000 0.500

Results
calculated volume: 501 Å³ per cell
distance to the lowest polymorph of the same formula: 146 meV/atom
total magnetic moment: 0.000 μB per cell